Compound: NaDy2IrO6
Source: the Alexandria database
Functional: PBE-GGA
Structure: optimized geometry

## Properties
E_tot   -7.160 eV/atom
Symmetry   R3, No. 146
ΔE_f (raw)   -22.47 eV per formula unit

a b c (Å): 5.6206 5.6208 5.9760
angles (deg): 61.95 61.95 60.00
Closest atoms and distances in Å follow each position.
Element x y z (fractional)
1 O 0.6867 0.1367 0.7725  1 Ir 2.00, 1 Dy 2.22
2 O 0.4041 0.6866 0.7725  1 Ir 2.00, 1 Dy 2.22
3 O 0.5717 0.2296 0.2364  1 Ir 2.02, 1 Dy 2.25
4 O 0.2296 0.9623 0.2364  1 Ir 2.02, 1 Dy 2.25
5 O 0.1367 0.4041 0.7726  1 Ir 2.00, 1 Dy 2.22
6 O 0.9623 0.5718 0.2364  1 Ir 2.02, 1 Dy 2.25
7 Dy 0.5272 0.5271 0.4187  6 O 2.25-2.35
8 Dy 0.0170 0.0170 0.9489  6 O 2.22-2.35
9 Na 0.8017 0.8017 0.5948  3 O 2.26
10 Ir 0.3246 0.3246 0.0261  6 O 2.00-2.02

Compound: DyNb2Ir2
Source: the Alexandria database
Functional: PBE-GGA
Structure: optimized geometry

## Properties
E_tot   -9.041 eV/atom
Symmetry   I4/mmm, No. 139
Formation enthalpy at 0 K   -52.9 kJ/mol of atoms

a b c (Å): 4.4485 4.4485 6.1067
angles (deg): 111.36 111.36 90.00
Closest atoms and distances in Å follow each position.
Element x y z (fractional)
1 Nb 0.2500 0.7500 0.5000  4 Ir 2.59
2 Nb 0.7500 0.2500 0.5000  4 Ir 2.59
3 Ir 0.6241 0.6241 0.2483  4 Nb 2.59, 1 Ir 2.60
4 Ir 0.3759 0.3759 0.7517  4 Nb 2.59, 1 Ir 2.60
5 Dy 0.0000 0.0000 0.0000  8 Ir 3.40, 8 Nb 3.43

Compound: DyNbIr
Source: the Alexandria database
Functional: PBE-GGA
Structure: optimized geometry

## Properties
E_tot   -8.345 eV/atom
Symmetry   P4/nmm, No. 129
Formation enthalpy at 0 K   -48.4 kJ/mol of atoms

a b c (Å): 4.5567 4.5567 6.4982
angles (deg): 90.00 90.00 90.00
Closest atoms and distances in Å follow each position.
Element x y z (fractional)
1 Ir 0.0000 0.5000 0.3081  4 Nb 2.60, 1 Dy 2.88
2 Ir 0.5000 0.0000 0.6919  4 Nb 2.60, 1 Dy 2.88
3 Dy 0.5000 0.0000 0.1346  1 Ir 2.88
4 Dy 0.0000 0.5000 0.8654  1 Ir 2.88
5 Nb 0.5000 0.5000 0.5000  4 Ir 2.60
6 Nb 0.0000 0.0000 0.5000  4 Ir 2.60

Compound: DyNbIr4
Source: the Alexandria database
Functional: PBE-GGA
Structure: optimized geometry

## Properties
E_tot   -8.797 eV/atom
Symmetry   F-43m, No. 216
Formation enthalpy at 0 K   -42.9 kJ/mol of atoms

a b c (Å): 5.2656 5.2656 5.2656
angles (deg): 60.00 60.00 60.00
Closest atoms and distances in Å follow each position.
Element x y z (fractional)
1 Nb 0.2500 0.2500 0.2500  12 Ir 3.09, 4 Dy 3.22
2 Ir 0.1241 0.6253 0.6253  6 Ir 2.63-2.64
3 Ir 0.6253 0.6253 0.6253  6 Ir 2.63-2.64
4 Ir 0.6253 0.6253 0.1241  6 Ir 2.63-2.64
5 Ir 0.6253 0.1241 0.6253  6 Ir 2.63-2.64
6 Dy 0.0000 0.0000 0.0000  12 Ir 3.09, 4 Nb 3.22

Compound: DyNbIrRu
Source: the Alexandria database
Functional: PBE-GGA
Structure: optimized geometry

## Properties
E_tot   -8.555 eV/atom
Symmetry   F-43m, No. 216
Formation enthalpy at 0 K   -34.0 kJ/mol of atoms

a b c (Å): 4.6580 4.6580 4.6580
angles (deg): 60.00 60.00 60.00
Closest atoms and distances in Å follow each position.
Element x y z (fractional)
1 Ir 0.2500 0.2500 0.2500  4 Dy 2.85, 4 Nb 2.85
2 Nb 0.0000 0.0000 0.0000  4 Ir 2.85, 4 Ru 2.85
3 Ru 0.7500 0.7500 0.7500  4 Nb 2.85, 4 Dy 2.85
4 Dy 0.5000 0.5000 0.5000  4 Ru 2.85, 4 Ir 2.85

Compound: NdDy2Ir
Source: the Alexandria database
Functional: PBE-GGA
Structure: optimized geometry

## Properties
E above lowest polymorph   2.73 kcal/mol of atoms
E_tot   -6.127 eV/atom
Symmetry   P4/mmm, No. 123
Formation enthalpy at 0 K   -40.4 kJ/mol of atoms

a b c (Å): 3.4951 3.4951 8.9278
angles (deg): 90.00 90.00 90.00
Closest atoms and distances in Å follow each position.
Element x y z (fractional)
1 Nd 0.5000 0.5000 0.5000  4 Nd 3.50, 8 Dy 3.76
2 Dy 0.0000 0.0000 0.1820  4 Ir 2.96, 1 Dy 3.25
3 Dy 0.0000 0.0000 0.8181  4 Ir 2.96, 1 Dy 3.25
4 Ir 0.5000 0.5000 0.0000  8 Dy 2.96

Compound: Nd3Dy4Ir4
Source: the Alexandria database
Functional: PBE-GGA
Structure: optimized geometry

## Properties
E_tot   -6.814 eV/atom
Symmetry   Immm, No. 71
Formation enthalpy at 0 K   -59.6 kJ/mol of atoms

a b c (Å): 3.9793 8.6761 9.3078
angles (deg): 117.78 102.34 90.00
Closest atoms and distances in Å follow each position.
Element x y z (fractional)
1 Ir 0.5000 0.7828 0.0000  2 Dy 2.80
2 Ir 0.7575 0.2575 0.5150  6 Dy 2.85-3.03, 1 Nd 3.19
3 Ir 0.2425 0.7425 0.4850  6 Dy 2.85-3.03, 1 Nd 3.19
4 Ir 0.5000 0.2172 0.0000  2 Dy 2.80
5 Nd 0.1013 0.1013 0.2026  6 Ir 3.18-3.19, 1 Nd 3.24, 4 Dy 3.50
6 Nd 0.0000 0.5000 0.0000  4 Ir 3.16
7 Nd 0.8987 0.8987 0.7974  6 Ir 3.18-3.19, 1 Nd 3.24, 4 Dy 3.50
8 Dy 0.6683 0.8598 0.3366  4 Ir 2.80-3.03
9 Dy 0.3317 0.1402 0.6634  4 Ir 2.80-3.03
10 Dy 0.3317 0.5232 0.6634  4 Ir 2.80-3.03
11 Dy 0.6683 0.4768 0.3366  4 Ir 2.80-3.03

Compound: NdDy2Ir
Source: the Alexandria database
Functional: PBE-GGA
Structure: optimized geometry

## Properties
E above lowest polymorph   0.00 kcal/mol of atoms
E_tot   -6.245 eV/atom
Symmetry   Pnma, No. 62
Formation enthalpy at 0 K   -51.8 kJ/mol of atoms

a b c (Å): 6.4727 7.2930 9.4157
angles (deg): 90.00 90.00 90.00
Closest atoms and distances in Å follow each position.
Element x y z (fractional)
1 Ir 0.4347 0.8824 0.2500  4 Dy 2.84-2.88, 2 Nd 2.85-3.00
2 Ir 0.0653 0.3824 0.2500  4 Dy 2.84-2.88, 2 Nd 2.85-3.00
3 Ir 0.9347 0.6176 0.7500  4 Dy 2.84-2.88, 2 Nd 2.85-3.00
4 Ir 0.5653 0.1176 0.7500  4 Dy 2.84-2.88, 2 Nd 2.85-3.00
5 Nd 0.3658 0.4659 0.7500  2 Ir 2.85-3.00
6 Nd 0.8658 0.0341 0.2500  2 Ir 2.85-3.00
7 Nd 0.1342 0.9659 0.7500  2 Ir 2.85-3.00
8 Nd 0.6342 0.5341 0.2500  2 Ir 2.85-3.00
9 Dy 0.1696 0.6751 0.4353  2 Ir 2.84-2.88
10 Dy 0.3304 0.1751 0.4353  2 Ir 2.84-2.88
11 Dy 0.3304 0.1751 0.0647  2 Ir 2.84-2.88
12 Dy 0.8304 0.3249 0.5647  2 Ir 2.84-2.88
13 Dy 0.6696 0.8249 0.5647  2 Ir 2.84-2.88
14 Dy 0.8304 0.3249 0.9353  2 Ir 2.84-2.88
15 Dy 0.6696 0.8249 0.9353  2 Ir 2.84-2.88
16 Dy 0.1696 0.6751 0.0647  2 Ir 2.84-2.88

> E_tot of number 1 (NaDy2IrO6)?

-7.160 eV/atom

> What is the E_tot in the seventh record?

-6.814 eV/atom

Repeat the fifth record exactly.
Compound: DyNbIrRu
Source: the Alexandria database
Functional: PBE-GGA
Structure: optimized geometry

## Properties
E_tot   -8.555 eV/atom
Symmetry   F-43m, No. 216
Formation enthalpy at 0 K   -34.0 kJ/mol of atoms

a b c (Å): 4.6580 4.6580 4.6580
angles (deg): 60.00 60.00 60.00
Closest atoms and distances in Å follow each position.
Element x y z (fractional)
1 Ir 0.2500 0.2500 0.2500  4 Dy 2.85, 4 Nb 2.85
2 Nb 0.0000 0.0000 0.0000  4 Ir 2.85, 4 Ru 2.85
3 Ru 0.7500 0.7500 0.7500  4 Nb 2.85, 4 Dy 2.85
4 Dy 0.5000 0.5000 0.5000  4 Ru 2.85, 4 Ir 2.85